Material: La2Si4Ni3Rh
Method: DFT, PBE
State: relaxed

Values from the calculation:
The symmetry is P-4m2 (115). For the total energy, the calculation gives -64.743 eV/cell. The density of states at the Fermi level comes out at 7.09 states/eV/f.u.

Cell lengths 4.0954, 4.0954, 9.8757 Å; angles 90.00, 90.00, 90.00 degrees
Element x y z (fractional)
La 0.0000 0.5000 0.2416
La 0.5000 0.0000 0.7584
Si 0.0000 0.0000 0.0000
Si 0.0000 0.5000 0.6308
Si 0.5000 0.0000 0.3692
Si 0.5000 0.5000 0.0000
Ni 0.0000 0.5000 0.8794
Ni 0.5000 0.0000 0.1206
Ni 0.5000 0.5000 0.5000
Rh 0.0000 0.0000 0.5000

=====

Material: LaSi2NiRh2
Method: DFT, PBE
State: relaxed

Values from the calculation:
The symmetry is P4/mmm (123). For the total energy, the calculation gives -39.516 eV/cell. The density of states at the Fermi level comes out at 2.80 states/eV/f.u.

Cell lengths 4.3299, 4.3299, 5.5578 Å; angles 90.00, 90.00, 90.00 degrees
Element x y z (fractional)
La 0.0000 0.0000 0.0000
Si 0.0000 0.5000 0.5000
Si 0.5000 0.0000 0.5000
Ni 0.0000 0.0000 0.5000
Rh 0.5000 0.5000 0.2519
Rh 0.5000 0.5000 0.7481

=====

Calculated total moment (μB per atom), listed in the same order as above: 0.000 0.000